Record 1
! PmHoCd4 | the Alexandria database | PBE-GGA | relaxed; values from VASP
! Formation energy from the elements in eV/atom: -0.32
! ΔE to the lowest computed polymorph in eV per formula unit: 0.00
&SYSTEM
  ibrav = 0, nat = 6, ntyp = 3
/
ATOMIC_SPECIES
Pm 145.00 Pm.upf
Ho 164.93 Ho.upf
Cd 112.41 Cd.upf
ATOMIC_POSITIONS angstrom
Pm 0.000 0.000 0.000
Ho -0.006 2.509 4.343
Cd 1.712 0.000 2.923
Cd 1.707 2.509 7.203
Cd 1.714 0.000 5.763
Cd 1.719 2.509 1.482
CELL_PARAMETERS angstrom
3.438 0.000 0.000
0.000 5.019 0.000
-0.011 0.000 8.686

***

Record 2
! Nd2SmHo2 | the Alexandria database | PBE-GGA | relaxed; values from VASP
! Formation energy from the elements in eV/atom: 0.00
! ΔE to the lowest computed polymorph in eV per formula unit: 0.00
&SYSTEM
  ibrav = 0, nat = 5, ntyp = 3
/
ATOMIC_SPECIES
Nd 144.24 Nd.upf
Sm 150.36 Sm.upf
Ho 164.93 Ho.upf
ATOMIC_POSITIONS angstrom
Nd -0.003 0.000 5.767
Nd 4.164 0.000 8.839
Sm 0.000 0.000 0.000
Ho 2.089 0.000 2.868
Ho 2.072 0.000 11.738
CELL_PARAMETERS angstrom
3.135 -1.812 0.000
3.135 1.812 0.000
-2.110 0.000 14.606

***

Record 3
! Mn2ZnIn | the Alexandria database | PBE-GGA | relaxed; values from VASP
! Formation energy from the elements in eV/atom: 0.16
&SYSTEM
  ibrav = 0, nat = 4, ntyp = 3
/
ATOMIC_SPECIES
Mn 54.94 Mn.upf
Zn 65.41 Zn.upf
In 114.82 In.upf
ATOMIC_POSITIONS angstrom
Mn 0.000 0.000 0.000
Mn 1.548 1.548 1.286
Zn 0.000 0.000 2.729
In 1.548 1.548 4.773
CELL_PARAMETERS angstrom
3.095 0.000 0.000
0.000 3.095 0.000
0.000 0.000 6.596

***

Record 4
! ZnCdBRh2 | the Alexandria database | PBE-GGA | relaxed; values from VASP
! Formation energy from the elements in eV/atom: -0.19
&SYSTEM
  ibrav = 0, nat = 5, ntyp = 4
/
ATOMIC_SPECIES
Zn 65.41 Zn.upf
Cd 112.41 Cd.upf
B 10.81 B.upf
Rh 102.91 Rh.upf
ATOMIC_POSITIONS angstrom
Zn 0.000 0.000 0.000
Cd 2.072 2.072 0.000
B 0.000 0.000 2.074
Rh 0.000 2.072 2.074
Rh 2.072 0.000 2.074
CELL_PARAMETERS angstrom
4.144 0.000 0.000
0.000 4.144 0.000
0.000 0.000 4.148

***

Record 5
! Sm6TlCo | the Alexandria database | PBE-GGA | relaxed; values from VASP
! Formation energy from the elements in eV/atom: -0.01
&SYSTEM
  ibrav = 0, nat = 8, ntyp = 3
/
ATOMIC_SPECIES
Sm 150.36 Sm.upf
Tl 204.38 Tl.upf
Co 58.93 Co.upf
ATOMIC_POSITIONS angstrom
Sm 1.890 3.180 4.404
Sm 0.814 0.000 5.366
Sm 4.463 3.180 1.739
Sm 1.890 -3.180 4.404
Sm 5.540 0.000 0.777
Sm 4.463 -3.180 1.739
Tl 3.177 0.000 3.071
Co 0.000 0.000 0.000
CELL_PARAMETERS angstrom
3.998 -5.091 0.000
3.998 5.091 0.000
-1.643 0.000 6.143

***

> Among the records above, which one has the lowest formation energy from the elements?

PmHoCd4